No. 1
Material: TiCuP2O
Method: DFT, PBE
State: relaxed

Output
- D(E_F): 3.5 states/eV per cell

The structure in POSCAR format:
```
TiCuP2O
1.0
4.897 0.000 0.000
0.000 4.897 0.000
0.000 0.000 3.619
Ti Cu P O
1 1 2 1
Cartesian
0.000 0.000 0.000
2.449 2.449 1.810
0.000 2.449 0.000
2.449 0.000 0.000
0.000 0.000 1.810
```

=====

No. 2
Material: TiCuP2O8
Method: DFT, PBE
State: relaxed

Output
- D(E_F): 12.9 states/eV per cell

The structure in POSCAR format:
```
TiCuP2O8
1.0
4.309 2.488 6.953
-4.309 2.488 6.953
0.000 -4.975 6.953
Ti Cu P O
3 3 6 24
Cartesian
0.000 0.000 0.000
0.000 0.000 4.468
0.000 0.000 10.458
0.000 0.000 7.438
0.000 0.000 14.897
0.000 0.000 17.861
-3.049 0.292 9.194
-1.263 -2.175 12.708
1.272 -2.786 9.194
-1.253 2.181 12.708
1.777 2.494 9.194
2.515 -0.006 12.708
-3.495 1.073 7.932
-0.817 -1.274 5.778
-2.816 -2.293 12.543
-3.417 1.140 10.432
0.818 -3.564 7.932
-1.506 0.132 9.079
-0.695 1.345 5.778
0.721 -3.529 10.432
-0.780 -1.405 11.447
0.638 -1.370 9.079
1.512 -0.071 5.778
-0.848 -1.518 13.999
-0.827 1.378 11.447
-1.511 -0.217 16.325
0.867 1.238 9.079
-0.891 1.493 13.999
1.607 0.028 11.447
-0.578 3.585 12.543
0.943 -1.200 16.325
2.677 2.490 7.932
1.739 0.025 13.999
3.394 -1.292 12.543
0.567 1.417 16.325
2.696 2.389 10.432
```

=====

Number 1: ΔE to the lowest computed polymorph 0 meV per atom, E_form (uncorrected) -0.2122 eV/atom. Number 2: ΔE to the lowest computed polymorph 17 meV per atom, E_form (uncorrected) -2.1064 eV/atom.